First-principles (PBE-GGA) data for a relaxed structure of BiPbW2, as listed in Alexandria.

Lattice parameters (Å, degrees): 6.855 6.855 6.855 90.00 90.00 90.00
Element x y z (fractional)
Bi  0.000  0.000  0.000
Bi  0.000  0.500  0.500
Bi  0.500  0.000  0.500
Bi  0.500  0.500  0.000
Pb  0.000  0.000  0.500
Pb  0.000  0.500  0.000
Pb  0.500  0.000  0.000
Pb  0.500  0.500  0.500
W  0.250  0.250  0.250
W  0.250  0.250  0.750
W  0.250  0.750  0.250
W  0.250  0.750  0.750
W  0.750  0.250  0.250
W  0.750  0.250  0.750
W  0.750  0.750  0.250
W  0.750  0.750  0.750

Values from the calculation:
**E above lowest polymorph**: 0.0000 eV per atom
**VASP energy**: -7.113 eV per atom
**Magnetic moment**: 0.00 μB/atom
**SG**: Fm-3m (225)